Entry 1:
{"formula": "DyAlIn", "functional": "PBE", "state": "relaxed", "energy_ev_per_atom": -4.123, "vol_a3_per_cell": 69.0, "e_form_kj_per_mol_atoms": -41.4, "cell": [[-0.394, 0.181, -3.499], [-0.043, -4.746, -0.240], [-4.069, 2.387, 0.582]], "species": ["In", "Al", "Dy"], "fractional_positions": [[0.167, 0.333, 0.667], [0.167, 0.000, 0.000], [0.666, 0.667, 0.333]]}


Entry 2:
{"formula": "K2VBr5", "functional": "PBE", "state": "relaxed", "energy_ev_per_atom": -3.716, "vol_a3_per_cell": 287.9, "e_form_raw_ev_per_atom": -1.257, "cell": [[7.902, 0.004, 0.000], [0.004, 7.902, 0.000], [-3.953, -3.953, 4.611]], "species": ["K", "K", "V", "Br", "Br", "Br", "Br", "Br"], "fractional_positions": [[0.262, 0.762, 0.524], [0.762, 0.262, 0.524], [0.968, 0.968, 0.936], [0.796, 0.240, 0.036], [0.240, 0.240, 0.035], [0.796, 0.796, 0.035], [0.240, 0.796, 0.036], [0.714, 0.714, 0.427]]}


Entry 3:
{"formula": "ScMnMo3", "functional": "PBE", "state": "relaxed", "energy_ev_per_atom": -7.270, "vol_a3_per_cell": 92.5, "e_form_kj_per_mol_atoms": 224.7, "cell": [[4.522, 0.000, 0.000], [0.000, 4.522, 0.000], [0.000, 0.000, 4.522]], "species": ["Sc", "Mo", "Mo", "Mo", "Mn"], "fractional_positions": [[0.000, 0.000, 0.000], [0.000, 0.500, 0.000], [0.000, 0.000, 0.500], [0.500, 0.000, 0.000], [0.500, 0.500, 0.500]]}


Entry 4:
{"formula": "MgCrTe2", "functional": "PBE", "state": "relaxed", "energy_ev_per_atom": -4.421, "vol_a3_per_cell": 124.1, "e_form_raw_ev_per_atom": -0.045, "cell": [[-1.618, -0.189, 3.645], [1.019, -7.862, 0.044], [3.550, 0.469, 1.600]], "species": ["Cr", "Mg", "Te", "Te"], "fractional_positions": [[0.500, 0.000, 0.500], [0.000, 0.500, 0.500], [0.000, 0.000, 0.000], [0.500, 0.500, 0.000]]}


Entry 5:
{"formula": "K3Pu2CrSe6", "functional": "PBE", "state": "relaxed", "energy_ev_per_atom": -6.427, "vol_a3_per_cell": 339.1, "e_form_raw_ev_per_atom": -1.219, "cell": [[7.164, -0.004, -0.002], [-3.583, 6.203, -0.002], [-1.197, -2.073, 7.635]], "species": ["K", "K", "K", "Pu", "Pu", "Cr", "Se", "Se", "Se", "Se", "Se", "Se"], "fractional_positions": [[0.170, 0.830, 0.500], [0.830, 0.170, 0.500], [0.500, 0.500, 0.500], [0.334, 0.666, 0.000], [0.666, 0.334, 0.000], [0.000, 0.000, 0.000], [0.934, 0.621, 0.803], [0.754, 0.754, 0.198], [0.066, 0.379, 0.197], [0.621, 0.934, 0.803], [0.246, 0.246, 0.802], [0.379, 0.066, 0.197]]}


Entry 6:
{"formula": "KRbNaAu", "functional": "PBE", "state": "relaxed", "energy_ev_per_atom": -1.822, "vol_a3_per_cell": 186.6, "e_form_kj_per_mol_atoms": -15.1, "cell": [[-4.714, -1.730, 1.151], [-0.585, -4.641, 2.159], [-1.200, 1.234, 8.474]], "species": ["K", "Rb", "Na", "Au"], "fractional_positions": [[0.658, 0.658, 0.026], [0.473, 0.473, 0.581], [0.904, 0.904, 0.288], [0.239, 0.239, 0.283]]}


Entry 7:
{"formula": "SmBe2SiRh2", "functional": "PBE", "state": "relaxed", "energy_ev_per_atom": -5.482, "vol_a3_per_cell": 93.6, "e_form_raw_ev_per_atom": -0.099, "cell": [[4.084, 0.000, 0.000], [0.000, 4.084, 0.000], [0.000, 0.000, 5.612]], "species": ["Sm", "Be", "Be", "Si", "Rh", "Rh"], "fractional_positions": [[0.000, 0.000, 0.500], [0.500, 0.000, 0.000], [0.000, 0.500, 0.000], [0.000, 0.000, 0.000], [0.500, 0.500, 0.756], [0.500, 0.500, 0.244]]}


Entry 8:
{"formula": "Ac2CeSb2N2", "functional": "PBE", "state": "relaxed", "energy_ev_per_atom": -6.574, "vol_a3_per_cell": 177.7, "e_form_raw_ev_per_atom": -0.996, "cell": [[4.586, 0.000, 0.000], [0.000, 4.586, 0.000], [-2.293, -2.293, 8.449]], "species": ["Ac", "Ac", "Ce", "Sb", "Sb", "N", "N"], "fractional_positions": [[0.394, 0.394, 0.787], [0.606, 0.606, 0.213], [0.000, 0.000, 0.000], [0.197, 0.197, 0.393], [0.803, 0.803, 0.607], [0.000, 0.500, 0.000], [0.500, 0.000, 0.000]]}


Entry 9:
{"formula": "Pm4HoEr3", "functional": "PBE", "state": "relaxed", "energy_ev_per_atom": -4.464, "vol_a3_per_cell": 265.5, "e_form_kj_per_mol_atoms": 18.8, "cell": [[-2.095, -3.704, -3.724], [-0.569, -2.375, 2.683], [-10.803, 6.733, 3.675]], "species": ["Er", "Er", "Er", "Ho", "Pm", "Pm", "Pm", "Pm"], "fractional_positions": [[0.000, 0.500, 0.000], [0.849, 0.000, 0.698], [0.151, 0.000, 0.302], [0.500, 0.000, 0.000], [0.603, 0.500, 0.205], [0.397, 0.500, 0.795], [0.277, 0.499, 0.554], [0.723, 0.501, 0.446]]}


Entry 10:
{"formula": "PuTh2TlC", "functional": "PBE", "state": "relaxed", "energy_ev_per_atom": -8.349, "vol_a3_per_cell": 126.6, "e_form_kj_per_mol_atoms": -19.0, "cell": [[4.839, 0.000, 0.000], [0.000, 5.115, 0.000], [0.000, 0.000, 5.115]], "species": ["Pu", "Th", "Th", "Tl", "C"], "fractional_positions": [[0.500, 0.000, 0.000], [0.000, 0.000, 0.500], [0.000, 0.500, 0.000], [0.500, 0.500, 0.500], [0.000, 0.000, 0.000]]}


Entry 11:
{"formula": "Pu4Sn", "functional": "PBE", "state": "relaxed", "energy_ev_per_atom": -11.438, "vol_a3_per_cell": 200.1, "e_form_kj_per_mol_atoms": 79.9, "cell": [[5.849, 0.000, 0.000], [0.000, 5.849, 0.000], [0.000, 0.000, 5.849]], "species": ["Sn", "Pu", "Pu", "Pu", "Pu"], "fractional_positions": [[0.500, 0.500, 0.500], [0.000, 0.000, 0.000], [0.500, 0.000, 0.500], [0.000, 0.500, 0.500], [0.500, 0.500, 0.000]]}


Entry 12:
{"formula": "Rb3Ce3FeS8", "functional": "PBE", "state": "relaxed", "energy_ev_per_atom": -5.592, "vol_a3_per_cell": 443.4, "e_form_raw_ev_per_atom": -1.446, "cell": [[8.112, 0.000, 0.000], [-4.056, 7.024, -0.082], [0.000, -4.592, 7.835]], "species": ["Rb", "Rb", "Rb", "Ce", "Ce", "Ce", "Fe", "S", "S", "S", "S", "S", "S", "S", "S"], "fractional_positions": [[0.000, 0.000, 0.000], [0.000, 0.500, 0.000], [0.500, 0.500, 0.000], [0.500, 0.000, 0.500], [0.500, 0.500, 0.500], [0.000, 0.500, 0.500], [0.000, 0.000, 0.500], [0.268, 0.536, 0.303], [0.732, 0.464, 0.697], [0.783, 0.566, 0.321], [0.217, 0.434, 0.679], [0.783, 0.038, 0.321], [0.217, 0.962, 0.679], [0.255, 0.038, 0.321], [0.745, 0.962, 0.679]]}


Q: Number 9 is which compound?
A: Pm4HoEr3


Repeat the second record exactly.
{"formula": "K2VBr5", "functional": "PBE", "state": "relaxed", "energy_ev_per_atom": -3.716, "vol_a3_per_cell": 287.9, "e_form_raw_ev_per_atom": -1.257, "cell": [[7.902, 0.004, 0.000], [0.004, 7.902, 0.000], [-3.953, -3.953, 4.611]], "species": ["K", "K", "V", "Br", "Br", "Br", "Br", "Br"], "fractional_positions": [[0.262, 0.762, 0.524], [0.762, 0.262, 0.524], [0.968, 0.968, 0.936], [0.796, 0.240, 0.036], [0.240, 0.240, 0.035], [0.796, 0.796, 0.035], [0.240, 0.796, 0.036], [0.714, 0.714, 0.427]]}